Entry from Alexandria: a geometry-optimized ScSF3 structure (GGA-PBE).

CIF file:
```
data_ScSF3
_chemical_formula_sum 'Sc1 S1 F3'
_space_group_name_H-M_alt 'P 1'
_space_group_IT_number 1
_space_group_name_Hall 'P 1'
_cell_length_a 4.3626
_cell_length_b 4.3626
_cell_length_c 4.3626
_cell_angle_alpha 90.00
_cell_angle_beta 90.00
_cell_angle_gamma 90.00
loop_
_atom_site_label
_atom_site_type_symbol
_atom_site_fract_x
_atom_site_fract_y
_atom_site_fract_z
Sc1 Sc 0.0000 0.0000 0.0000
S1 S 0.5000 0.5000 0.5000
F1 F 0.0000 0.5000 0.5000
F2 F 0.5000 0.0000 0.5000
F3 F 0.5000 0.5000 0.0000
```

magnetic moment	1.148	μB per formula unit
raw formation energy	-391	kJ/mol of formula units
E_tot	-0.2959	Ry/atom
energy relative to the lowest polymorph listed for this composition	1624	meV per atom


Entry from Alexandria: a geometry-optimized MgTa5C6 structure (GGA-PBE).

CIF file:
```
data_MgTa5C6
_chemical_formula_sum 'Mg1 Ta5 C6'
_space_group_name_H-M_alt 'P 1'
_space_group_IT_number 1
_space_group_name_Hall 'P 1'
_cell_length_a 5.4806
_cell_length_b 5.4806
_cell_length_c 5.4864
_cell_angle_alpha 99.54
_cell_angle_beta 99.54
_cell_angle_gamma 120.00
loop_
_atom_site_label
_atom_site_type_symbol
_atom_site_fract_x
_atom_site_fract_y
_atom_site_fract_z
Mg1 Mg 0.0000 0.0000 0.0000
Ta1 Ta 0.1623 0.8377 0.5000
Ta2 Ta 0.3333 0.6667 0.0000
Ta3 Ta 0.5000 0.5000 0.5000
Ta4 Ta 0.6667 0.3333 0.0000
Ta5 Ta 0.8377 0.1623 0.5000
C1 C 0.0849 0.4212 0.2539
C2 C 0.2520 0.2520 0.7500
C3 C 0.4212 0.0849 0.2539
C4 C 0.5788 0.9151 0.7461
C5 C 0.7480 0.7480 0.2500
C6 C 0.9151 0.5788 0.7461
```

magnetic moment	0.000	μB per formula unit
calculated formation energy	-10.4	kcal/mol of atoms
E_tot	-0.7449	Ry/atom


Entry from Alexandria: a geometry-optimized Cs2Sb3Pb6 structure (GGA-PBE).

CIF file:
```
data_Cs2Sb3Pb6
_chemical_formula_sum 'Cs2 Sb3 Pb6'
_space_group_name_H-M_alt 'P 1'
_space_group_IT_number 1
_space_group_name_Hall 'P 1'
_cell_length_a 9.6649
_cell_length_b 9.6649
_cell_length_c 5.2727
_cell_angle_alpha 90.00
_cell_angle_beta 90.00
_cell_angle_gamma 120.00
loop_
_atom_site_label
_atom_site_type_symbol
_atom_site_fract_x
_atom_site_fract_y
_atom_site_fract_z
Cs1 Cs 0.3333 0.6667 0.0000
Cs2 Cs 0.6667 0.3333 0.0000
Sb1 Sb 0.0000 0.3915 0.5000
Sb2 Sb 0.3915 0.0000 0.5000
Sb3 Sb 0.6085 0.6085 0.5000
Pb1 Pb 0.0000 0.2022 0.0000
Pb2 Pb 0.0000 0.7189 0.5000
Pb3 Pb 0.2022 0.0000 0.0000
Pb4 Pb 0.2811 0.2811 0.5000
Pb5 Pb 0.7189 0.0000 0.5000
Pb6 Pb 0.7978 0.7978 0.0000
```

magnetic moment	0.000	μB per formula unit
raw formation energy	-139	kJ/mol of formula units
E_tot	-0.2523	Ry/atom


Entry from Alexandria: a geometry-optimized YPu2Cu2Ge2 structure (GGA-PBE).

CIF file:
```
data_YPu2Cu2Ge2
_chemical_formula_sum 'Y1 Pu2 Cu2 Ge2'
_space_group_name_H-M_alt 'P 1'
_space_group_IT_number 1
_space_group_name_Hall 'P 1'
_cell_length_a 9.1960
_cell_length_b 9.1960
_cell_length_c 9.1960
_cell_angle_alpha 25.31
_cell_angle_beta 25.31
_cell_angle_gamma 25.31
loop_
_atom_site_label
_atom_site_type_symbol
_atom_site_fract_x
_atom_site_fract_y
_atom_site_fract_z
Y1 Y 0.0000 0.0000 0.0000
Pu1 Pu 0.1509 0.1509 0.1509
Pu2 Pu 0.8491 0.8491 0.8491
Cu1 Cu 0.4123 0.4123 0.4123
Cu2 Cu 0.5877 0.5877 0.5877
Ge1 Ge 0.2608 0.2608 0.2608
Ge2 Ge 0.7392 0.7392 0.7392
```

magnetic moment	0.000	μB per formula unit
calculated formation energy	-6.6	kcal/mol of atoms
E_tot	-0.5730	Ry/atom


Entry from Alexandria: a geometry-optimized InCo2Rh structure (GGA-PBE).

CIF file:
```
data_InCo2Rh
_chemical_formula_sum 'In1 Co2 Rh1'
_space_group_name_H-M_alt 'P 1'
_space_group_IT_number 1
_space_group_name_Hall 'P 1'
_cell_length_a 3.7765
_cell_length_b 3.7765
_cell_length_c 3.9977
_cell_angle_alpha 90.00
_cell_angle_beta 90.00
_cell_angle_gamma 90.00
loop_
_atom_site_label
_atom_site_type_symbol
_atom_site_fract_x
_atom_site_fract_y
_atom_site_fract_z
In1 In 0.0000 0.0000 0.0000
Co1 Co 0.0000 0.5000 0.5000
Co2 Co 0.5000 0.0000 0.5000
Rh1 Rh 0.5000 0.5000 0.0000
```

magnetic moment	3.643	μB per formula unit
calculated formation energy	2.3	kcal/mol of atoms
E_tot	-0.4393	Ry/atom


Entry from Alexandria: a geometry-optimized Nd8GePt3Br4 structure (GGA-PBE).

CIF file:
```
data_Nd8GePt3Br4
_chemical_formula_sum 'Nd8 Ge1 Pt3 Br4'
_space_group_name_H-M_alt 'P 1'
_space_group_IT_number 1
_space_group_name_Hall 'P 1'
_cell_length_a 8.5309
_cell_length_b 8.5309
_cell_length_c 9.0583
_cell_angle_alpha 118.13
_cell_angle_beta 118.13
_cell_angle_gamma 60.00
loop_
_atom_site_label
_atom_site_type_symbol
_atom_site_fract_x
_atom_site_fract_y
_atom_site_fract_z
Nd1 Nd 0.2278 0.7386 0.7045
Nd2 Nd 0.2329 0.2329 0.6983
Nd3 Nd 0.2614 0.2614 0.2955
Nd4 Nd 0.2614 0.7722 0.2955
Nd5 Nd 0.7386 0.2278 0.7045
Nd6 Nd 0.7386 0.7386 0.7045
Nd7 Nd 0.7671 0.7671 0.3017
Nd8 Nd 0.7722 0.2614 0.2955
Ge1 Ge 0.5000 0.5000 0.5000
Pt1 Pt 0.0000 0.0000 0.5000
Pt2 Pt 0.0000 0.5000 0.5000
Pt3 Pt 0.5000 0.0000 0.5000
Br1 Br 0.0000 0.0000 0.0000
Br2 Br 0.0000 0.5000 0.0000
Br3 Br 0.5000 0.0000 0.0000
Br4 Br 0.5000 0.5000 0.0000
```

magnetic moment	0.000	μB per formula unit
raw formation energy	-1822	kJ/mol of formula units
E_tot	-0.3972	Ry/atom


Entry from Alexandria: a geometry-optimized SrAc3Tc structure (GGA-PBE).

CIF file:
```
data_SrAc3Tc
_chemical_formula_sum 'Sr2 Ac6 Tc2'
_space_group_name_H-M_alt 'P 1'
_space_group_IT_number 1
_space_group_name_Hall 'P 1'
_cell_length_a 9.7958
_cell_length_b 9.7958
_cell_length_c 9.7958
_cell_angle_alpha 139.77
_cell_angle_beta 60.68
_cell_angle_gamma 136.57
loop_
_atom_site_label
_atom_site_type_symbol
_atom_site_fract_x
_atom_site_fract_y
_atom_site_fract_z
Sr1 Sr 0.0000 0.0000 0.0000
Sr2 Sr 0.5000 0.0000 0.5000
Ac1 Ac 0.1721 0.9221 0.2500
Ac2 Ac 0.1899 0.5614 0.6286
Ac3 Ac 0.4328 0.5614 0.8714
Ac4 Ac 0.5672 0.4386 0.1286
Ac5 Ac 0.8101 0.4386 0.3714
Ac6 Ac 0.8279 0.0779 0.7500
Tc1 Tc 0.5000 0.0000 0.0000
Tc2 Tc 0.5000 0.5000 0.5000
```

magnetic moment	0.000	μB per formula unit
calculated formation energy	1.8	kcal/mol of atoms
E_tot	-0.3524	Ry/atom
energy relative to the lowest polymorph listed for this composition	18	meV per atom


- Number 7 is which compound?
  SrAc3Tc


- What is the formula in the first record?
  ScSF3